Entry from the Alexandria database: a relaxed structure of Ti3RePd (PBE).

The space group is Pm-3m (No. 221) and the conventional cell measures 4.623, 4.623 and 4.623 Å, with angles of 90.00, 90.00 and 90.00 degrees. Symmetry generates all atoms from Ti at (0.000, 0.000, 0.500), Re at (0.500, 0.500, 0.500) and Pd at (0.000, 0.000, 0.000).

The value obtained for the calculated volume is 98.8 Å³/cell. The calculation puts the relative energy among the computed polymorphs at 430 meV per atom. The value obtained for the formation energy is 1052.7 meV per atom.

Entry from the Alexandria database: a relaxed structure of PmTlSnSe3 (PBE).

The space group is Cmcm (No. 63) and the conventional cell measures 4.246, 16.874 and 11.547 Å, with angles of 90.00, 90.00 and 90.00 degrees. Symmetry generates all atoms from Pm at (0.000, 0.000, 0.000), Tl at (0.000, 0.302, 0.250), Sn at (0.000, 0.369, 0.750), Se at (0.000, 0.024, 0.250) and Se at (0.000, 0.380, 0.009).

As for the uncorrected formation energy: -0.939 eV/atom. The value obtained for the calculated volume is 827.3 Å³/cell.

Entry from the Alexandria database: a relaxed structure of RbTa2I (PBE).

The space group is Fm-3m (No. 225) and the conventional cell measures 7.119, 7.119 and 7.119 Å, with angles of 90.00, 90.00 and 90.00 degrees. Symmetry generates all atoms from Rb at (0.000, 0.000, 0.000), Ta at (0.250, 0.250, 0.250) and I at (0.000, 0.000, 0.500).

As for the uncorrected formation energy: 2.098 eV/atom. The value obtained for the calculated volume is 360.8 Å³/cell. The calculation puts the relative energy among the computed polymorphs at 715 meV per atom.

Entry from the Alexandria database: a relaxed structure of SnHgBr4 (PBE).

The space group is P2_1/c (No. 14) and the conventional cell measures 7.499, 4.272 and 15.175 Å, with angles of 90.00, 116.10 and 90.00 degrees. Symmetry generates all atoms from Sn at (0.000, 0.000, 0.000), Hg at (0.500, 0.000, 0.500), Br at (0.064, 0.002, 0.378) and Br at (0.452, 0.583, 0.617).

As for the uncorrected formation energy: -0.575 eV/atom. The value obtained for the calculated volume is 436.6 Å³/cell. The calculation puts the relative energy among the computed polymorphs at 15 meV per atom.

Entry from the Alexandria database: a relaxed structure of NbCu2Ni9 (PBE).

The space group is P4/mmm (No. 123) and the conventional cell measures 3.609, 3.609 and 10.669 Å, with angles of 90.00, 90.00 and 90.00 degrees. Symmetry generates all atoms from Nb at (0.000, 0.000, 0.000), Cu at (0.000, 0.000, 0.339), Ni at (0.000, 0.500, 0.173), Ni at (0.000, 0.500, 0.500), Ni at (0.500, 0.500, 0.000) and Ni at (0.500, 0.500, 0.337).

The value obtained for the calculated volume is 139.0 Å³/cell. The value obtained for the formation energy is -74.0 meV per atom.

Entry from the Alexandria database: a relaxed structure of CsBaP (PBE).

The space group is P1 (No. 1) and the conventional cell measures 4.742, 5.897 and 13.296 Å, with angles of 87.44, 88.34 and 66.64 degrees. Symmetry generates all atoms from Cs at (0.000, 0.000, 0.000), Cs at (0.309, 0.438, 0.323), Ba at (0.002, 0.996, 0.579), Ba at (0.726, 0.521, 0.769), P at (0.297, 0.404, 0.615) and P at (0.435, 0.105, 0.738).

The value obtained for the calculated volume is 341.0 Å³/cell. The value obtained for the formation energy is -555.1 meV per atom.